No. 1
! ThMg | OQMD via LeMat-Bulk | PBE | relaxed; values from VASP
! - E_tot (eV/f.u.) = -8.73
! - SG = Pmmn
&SYSTEM
  ibrav = 0, nat = 4, ntyp = 2
/
ATOMIC_SPECIES
Th 232.04 Th.upf
Mg 24.30 Mg.upf
ATOMIC_POSITIONS crystal
Th 0.250 0.250 0.063
Th 0.750 0.750 0.937
Mg 0.250 0.750 0.430
Mg 0.750 0.250 0.570
CELL_PARAMETERS angstrom
3.386 0.000 0.000
0.000 5.566 0.000
0.000 0.000 6.126

***

No. 2
! HoCdInS3 | OQMD via LeMat-Bulk | PBE | relaxed; values from VASP
! - E_tot (eV/f.u.) = -26.95
! - SG = Cmcm
&SYSTEM
  ibrav = 0, nat = 12, ntyp = 4
/
ATOMIC_SPECIES
Ho 164.93 Ho.upf
Cd 112.41 Cd.upf
In 114.82 In.upf
S 32.06 S.upf
ATOMIC_POSITIONS crystal
Ho 0.000 0.000 0.000
Ho 0.000 0.000 0.500
Cd 0.436 0.564 0.750
Cd 0.564 0.436 0.250
In 0.279 0.721 0.250
In 0.721 0.279 0.750
S 0.058 0.942 0.750
S 0.369 0.631 0.536
S 0.369 0.631 0.964
S 0.631 0.369 0.036
S 0.631 0.369 0.464
S 0.942 0.058 0.250
CELL_PARAMETERS angstrom
2.026 -7.016 0.000
2.026 7.016 0.000
0.000 0.000 10.713

***

No. 3
! LiErHgS3 | OQMD via LeMat-Bulk | PBE | relaxed; values from VASP
! - energy relative to the lowest polymorph listed for this composition (meV/atom) = 0
! - E_tot (eV/f.u.) = -26.45
! - SG = Pnma
&SYSTEM
  ibrav = 0, nat = 24, ntyp = 4
/
ATOMIC_SPECIES
Li 6.94 Li.upf
Er 167.26 Er.upf
Hg 200.59 Hg.upf
S 32.06 S.upf
ATOMIC_POSITIONS crystal
Li 0.152 0.250 0.080
Li 0.348 0.750 0.580
Li 0.652 0.250 0.420
Li 0.848 0.750 0.920
Er 0.120 0.250 0.761
Er 0.380 0.750 0.261
Er 0.620 0.250 0.739
Er 0.880 0.750 0.239
Hg 0.128 0.250 0.393
Hg 0.372 0.750 0.893
Hg 0.628 0.250 0.107
Hg 0.872 0.750 0.607
S 0.102 0.750 0.613
S 0.133 0.750 0.206
S 0.144 0.750 0.916
S 0.356 0.250 0.416
S 0.367 0.250 0.706
S 0.398 0.250 0.113
S 0.602 0.750 0.887
S 0.633 0.750 0.294
S 0.644 0.750 0.584
S 0.856 0.250 0.084
S 0.867 0.250 0.794
S 0.898 0.250 0.387
CELL_PARAMETERS angstrom
10.498 0.000 0.000
0.000 3.965 0.000
0.000 0.000 12.604

***

No. 4
! ErHfTl | OQMD via LeMat-Bulk | PBE | relaxed; values from VASP
! - energy relative to the lowest polymorph listed for this composition (meV/atom) = 0
! - E_tot (eV/f.u.) = -15.81
! - SG = F-43m
&SYSTEM
  ibrav = 0, nat = 3, ntyp = 3
/
ATOMIC_SPECIES
Er 167.26 Er.upf
Hf 178.49 Hf.upf
Tl 204.38 Tl.upf
ATOMIC_POSITIONS crystal
Er 0.000 0.000 0.000
Hf 0.500 0.500 0.500
Tl 0.250 0.250 0.250
CELL_PARAMETERS angstrom
0.000 3.488 3.488
3.488 0.000 3.488
3.488 3.488 0.000

***

No. 5
! TaPdNO | OQMD via LeMat-Bulk | PBE | relaxed; values from VASP
! - energy relative to the lowest polymorph listed for this composition (meV/atom) = 554
! - E_tot (eV/f.u.) = -32.70
! - SG = P4/nmm
&SYSTEM
  ibrav = 0, nat = 8, ntyp = 4
/
ATOMIC_SPECIES
Ta 180.95 Ta.upf
Pd 106.42 Pd.upf
N 14.01 N.upf
O 16.00 O.upf
ATOMIC_POSITIONS crystal
Ta 0.250 0.750 0.000
Ta 0.750 0.250 0.000
Pd 0.250 0.250 0.358
Pd 0.750 0.750 0.642
N 0.250 0.250 0.910
N 0.750 0.750 0.090
O 0.250 0.750 0.500
O 0.750 0.250 0.500
CELL_PARAMETERS angstrom
4.395 0.000 0.000
0.000 4.395 0.000
0.000 0.000 4.566

***

No. 6
! HoAlSi | OQMD via LeMat-Bulk | PBE | relaxed; values from VASP
! - E_tot (eV/f.u.) = -15.43
! - SG = P-62m
&SYSTEM
  ibrav = 0, nat = 9, ntyp = 3
/
ATOMIC_SPECIES
Ho 164.93 Ho.upf
Al 26.98 Al.upf
Si 28.09 Si.upf
ATOMIC_POSITIONS crystal
Ho 0.000 0.609 0.000
Ho 0.391 0.391 0.000
Ho 0.609 0.000 0.000
Al 0.000 0.256 0.500
Al 0.256 0.000 0.500
Al 0.744 0.744 0.500
Si 0.000 0.000 0.000
Si 0.333 0.667 0.500
Si 0.667 0.333 0.500
CELL_PARAMETERS angstrom
7.009 0.000 0.000
-3.504 6.070 0.000
0.000 0.000 4.081

***

No. 7
! Cu13Ag7 | OQMD via LeMat-Bulk | PBE | relaxed; values from VASP
! - energy relative to the lowest polymorph listed for this composition (meV/atom) = 2
! - E_tot (eV/f.u.) = -66.22
! - DFT formation energy (eV/atom) = 0.093
! - SG = P1
&SYSTEM
  ibrav = 0, nat = 40, ntyp = 2
/
ATOMIC_SPECIES
Cu 63.55 Cu.upf
Ag 107.87 Ag.upf
ATOMIC_POSITIONS crystal
Cu 0.000 0.000 0.000
Cu 0.001 0.253 0.267
Cu 0.006 0.763 0.754
Cu 0.090 0.870 0.566
Cu 0.097 0.095 0.810
Cu 0.102 0.617 0.312
Cu 0.183 0.203 0.620
Cu 0.187 0.965 0.360
Cu 0.202 0.446 0.855
Cu 0.277 0.304 0.414
Cu 0.282 0.569 0.665
Cu 0.306 0.811 0.901
Cu 0.312 0.051 0.158
Cu 0.388 0.141 0.955
Cu 0.389 0.911 0.711
Cu 0.474 0.238 0.764
Cu 0.491 0.500 0.000
Cu 0.492 0.765 0.259
Cu 0.603 0.872 0.048
Cu 0.678 0.202 0.103
Cu 0.689 0.954 0.852
Cu 0.711 0.726 0.612
Cu 0.803 0.058 0.669
Cu 0.819 0.814 0.415
Cu 0.912 0.148 0.468
Cu 0.915 0.403 0.716
Ag 0.003 0.510 0.518
Ag 0.098 0.335 0.058
Ag 0.220 0.714 0.101
Ag 0.386 0.403 0.214
Ag 0.400 0.672 0.459
Ag 0.496 0.018 0.519
Ag 0.588 0.367 0.577
Ag 0.591 0.604 0.799
Ag 0.597 0.099 0.314
Ag 0.707 0.459 0.364
Ag 0.787 0.289 0.905
Ag 0.791 0.555 0.155
Ag 0.902 0.661 0.949
Ag 0.903 0.916 0.204
CELL_PARAMETERS angstrom
6.016 0.000 0.000
0.011 7.133 0.000
0.043 1.057 12.880

***

No. 8
! Y5TlHg4 | OQMD via LeMat-Bulk | PBE | relaxed; values from VASP
! - E_tot (eV/f.u.) = -40.75
! - SG = P4/mmm
&SYSTEM
  ibrav = 0, nat = 10, ntyp = 3
/
ATOMIC_SPECIES
Y 88.91 Y.upf
Tl 204.38 Tl.upf
Hg 200.59 Hg.upf
ATOMIC_POSITIONS crystal
Y 0.000 0.000 0.000
Y 0.000 0.000 0.198
Y 0.000 0.000 0.395
Y 0.000 0.000 0.605
Y 0.000 0.000 0.802
Tl 0.500 0.500 0.500
Hg 0.500 0.500 0.100
Hg 0.500 0.500 0.296
Hg 0.500 0.500 0.704
Hg 0.500 0.500 0.900
CELL_PARAMETERS angstrom
3.729 0.000 0.000
0.000 3.729 0.000
0.000 0.000 18.713

***

No. 9
! Cs2NiTe2 | OQMD via LeMat-Bulk | PBE | relaxed; values from VASP
! - E_tot (eV/f.u.) = -16.74
! - SG = Ibam
&SYSTEM
  ibrav = 0, nat = 10, ntyp = 3
/
ATOMIC_SPECIES
Cs 132.91 Cs.upf
Ni 58.69 Ni.upf
Te 127.60 Te.upf
ATOMIC_POSITIONS crystal
Cs 0.145 0.173 0.318
Cs 0.355 0.673 0.028
Cs 0.645 0.327 0.972
Cs 0.855 0.827 0.682
Ni 0.250 0.750 0.500
Ni 0.750 0.250 0.500
Te 0.092 0.663 0.754
Te 0.408 0.163 0.571
Te 0.592 0.837 0.429
Te 0.908 0.337 0.246
CELL_PARAMETERS angstrom
-3.893 7.599 3.485
3.893 -7.599 3.485
3.893 7.599 -3.485

***

No. 10
! PrNd2Ge4Pd4 | OQMD via LeMat-Bulk | PBE | relaxed; values from VASP
! - E_tot (eV/f.u.) = -63.23
! - SG = Immm
&SYSTEM
  ibrav = 0, nat = 11, ntyp = 4
/
ATOMIC_SPECIES
Pr 140.91 Pr.upf
Nd 144.24 Nd.upf
Ge 72.64 Ge.upf
Pd 106.42 Pd.upf
ATOMIC_POSITIONS crystal
Pr 0.000 0.000 0.000
Nd 0.352 0.852 0.500
Nd 0.648 0.148 0.500
Ge 0.195 0.695 0.500
Ge 0.450 0.450 0.000
Ge 0.550 0.550 0.000
Ge 0.805 0.305 0.500
Pd 0.097 0.597 0.500
Pd 0.250 0.250 0.000
Pd 0.750 0.750 0.000
Pd 0.903 0.403 0.500
CELL_PARAMETERS angstrom
-2.082 2.191 12.628
2.082 -2.191 12.628
2.082 2.191 -12.628

***

No. 11
! YTl2Hg | OQMD via LeMat-Bulk | PBE | relaxed; values from VASP
! - E_tot (eV/f.u.) = -12.09
! - SG = F-43m
&SYSTEM
  ibrav = 0, nat = 4, ntyp = 3
/
ATOMIC_SPECIES
Y 88.91 Y.upf
Tl 204.38 Tl.upf
Hg 200.59 Hg.upf
ATOMIC_POSITIONS crystal
Y 0.000 0.000 0.000
Tl 0.250 0.250 0.250
Tl 0.500 0.500 0.500
Hg 0.750 0.750 0.750
CELL_PARAMETERS angstrom
0.000 3.745 3.745
3.745 0.000 3.745
3.745 3.745 0.000

***

No. 12
! Dy4Te3N | OQMD via LeMat-Bulk | PBE | relaxed; values from VASP
! - E_tot (eV/f.u.) = -45.51
! - SG = I4/mmm
&SYSTEM
  ibrav = 0, nat = 8, ntyp = 3
/
ATOMIC_SPECIES
Dy 162.50 Dy.upf
Te 127.60 Te.upf
N 14.01 N.upf
ATOMIC_POSITIONS crystal
Dy 0.000 0.500 0.500
Dy 0.183 0.183 0.000
Dy 0.500 0.000 0.500
Dy 0.817 0.817 0.000
Te 0.250 0.750 0.500
Te 0.500 0.500 0.000
Te 0.750 0.250 0.500
N 0.000 0.000 0.000
CELL_PARAMETERS angstrom
-2.963 2.963 6.046
2.963 -2.963 6.046
2.963 2.963 -6.046

***

No. 13
! ZrMoAs | OQMD via LeMat-Bulk | PBE | relaxed; values from VASP
! - E_tot (eV/f.u.) = -22.22
! - SG = F-43m
&SYSTEM
  ibrav = 0, nat = 3, ntyp = 3
/
ATOMIC_SPECIES
Zr 91.22 Zr.upf
Mo 95.94 Mo.upf
As 74.92 As.upf
ATOMIC_POSITIONS crystal
Zr 0.000 0.000 0.000
Mo 0.250 0.250 0.250
As 0.750 0.750 0.750
CELL_PARAMETERS angstrom
0.000 3.182 3.182
3.182 0.000 3.182
3.182 3.182 0.000

***

No. 14
! LiHfNiPb | OQMD via LeMat-Bulk | PBE | relaxed; values from VASP
! - energy relative to the lowest polymorph listed for this composition (meV/atom) = 0
! - E_tot (eV/f.u.) = -21.58
! - SG = F-43m
&SYSTEM
  ibrav = 0, nat = 4, ntyp = 4
/
ATOMIC_SPECIES
Li 6.94 Li.upf
Hf 178.49 Hf.upf
Ni 58.69 Ni.upf
Pb 207.20 Pb.upf
ATOMIC_POSITIONS crystal
Li 0.000 0.000 0.000
Hf 0.750 0.750 0.750
Ni 0.500 0.500 0.500
Pb 0.250 0.250 0.250
CELL_PARAMETERS angstrom
0.000 3.210 3.210
3.210 0.000 3.210
3.210 3.210 0.000

***

No. 15
! GdZnNO | OQMD via LeMat-Bulk | PBE | relaxed; values from VASP
! - energy relative to the lowest polymorph listed for this composition (meV/atom) = 69
! - E_tot (eV/f.u.) = -25.19
! - SG = Pmc2_1
&SYSTEM
  ibrav = 0, nat = 8, ntyp = 4
/
ATOMIC_SPECIES
Gd 157.25 Gd.upf
Zn 65.41 Zn.upf
N 14.01 N.upf
O 16.00 O.upf
ATOMIC_POSITIONS crystal
Gd 0.000 0.213 0.000
Gd 0.000 0.787 0.500
Zn 0.500 0.330 0.494
Zn 0.500 0.670 0.994
N 0.500 0.368 0.833
N 0.500 0.632 0.333
O 0.000 0.152 0.391
O 0.000 0.848 0.891
CELL_PARAMETERS angstrom
3.598 0.000 0.000
0.000 5.837 0.000
0.000 0.000 5.725

***

No. 16
! HoIn3P | OQMD via LeMat-Bulk | PBE | relaxed; values from VASP
! - E_tot (eV/f.u.) = -16.91
! - SG = Pm-3m
&SYSTEM
  ibrav = 0, nat = 5, ntyp = 3
/
ATOMIC_SPECIES
Ho 164.93 Ho.upf
In 114.82 In.upf
P 30.97 P.upf
ATOMIC_POSITIONS crystal
Ho 0.000 0.000 0.000
In 0.000 0.500 0.500
In 0.500 0.000 0.500
In 0.500 0.500 0.000
P 0.500 0.500 0.500
CELL_PARAMETERS angstrom
5.195 0.000 0.000
0.000 5.195 0.000
0.000 0.000 5.195